(1)
# PBE PmNd2ScS4, relaxed
data_PmNd2ScS4
_cell_length_a 6.888
_cell_length_b 3.926
_cell_length_c 6.942
_cell_angle_alpha 90.00
_cell_angle_beta 108.85
_cell_angle_gamma 90.00
_symmetry_space_group_name_H-M 'P 1'
_symmetry_Int_Tables_number 1
loop_
_symmetry_equiv_pos_as_xyz
'x,y,z'
loop_
_atom_site_label
_atom_site_type_symbol
_atom_site_fract_x
_atom_site_fract_y
_atom_site_fract_z
Pm1 Pm 0.000 0.000 0.000
Nd1 Nd 0.000 0.500 0.500
Nd2 Nd 0.500 0.000 0.500
Sc1 Sc 0.500 0.500 0.000
S1 S 0.259 0.500 0.237
S2 S 0.270 0.000 0.772
S3 S 0.730 0.000 0.228
S4 S 0.741 0.500 0.763
# Raw formation energy in eV per atom: -1.95
# Mass density in g/cm³: 5.67
# Space-group type: P2/m, No. 10
# Magnetization in μB per formula unit: 0.00

(2)
# PBE PmNd2Se2S2, relaxed
data_PmNd2Se2S2
_cell_length_a 8.333
_cell_length_b 8.333
_cell_length_c 8.333
_cell_angle_alpha 143.45
_cell_angle_beta 143.45
_cell_angle_gamma 52.65
_symmetry_space_group_name_H-M 'P 1'
_symmetry_Int_Tables_number 1
loop_
_symmetry_equiv_pos_as_xyz
'x,y,z'
loop_
_atom_site_label
_atom_site_type_symbol
_atom_site_fract_x
_atom_site_fract_y
_atom_site_fract_z
Pm1 Pm 0.000 0.000 0.000
Nd1 Nd 0.379 0.379 0.000
Nd2 Nd 0.621 0.621 0.000
Se1 Se 0.190 0.190 0.000
Se2 Se 0.810 0.810 0.000
S1 S 0.000 0.500 0.500
S2 S 0.500 0.000 0.500
# Raw formation energy in eV per atom: -1.53
# Mass density in g/cm³: 5.34
# Space-group type: I4/mmm, No. 139
# Magnetization in μB per formula unit: 0.00

(3)
# PBE Pm2Nd2Se3S2, relaxed
data_Pm2Nd2Se3S2
_cell_length_a 8.285
_cell_length_b 8.285
_cell_length_c 8.285
_cell_angle_alpha 139.43
_cell_angle_beta 139.43
_cell_angle_gamma 58.72
_symmetry_space_group_name_H-M 'P 1'
_symmetry_Int_Tables_number 1
loop_
_symmetry_equiv_pos_as_xyz
'x,y,z'
loop_
_atom_site_label
_atom_site_type_symbol
_atom_site_fract_x
_atom_site_fract_y
_atom_site_fract_z
Pm1 Pm 0.000 0.500 0.500
Pm2 Pm 0.500 0.000 0.500
Nd1 Nd 0.215 0.215 0.000
Nd2 Nd 0.785 0.785 0.000
Se1 Se 0.000 0.000 0.000
Se2 Se 0.250 0.750 0.500
Se3 Se 0.750 0.250 0.500
S1 S 0.403 0.403 0.000
S2 S 0.597 0.597 0.000
# Raw formation energy in eV per atom: -1.62
# Mass density in g/cm³: 6.13
# Space-group type: I4/mmm, No. 139
# Magnetization in μB per formula unit: 0.00

(4)
# PBE PmNdSiS, relaxed
data_PmNdSiS
_cell_length_a 7.274
_cell_length_b 7.274
_cell_length_c 7.274
_cell_angle_alpha 33.17
_cell_angle_beta 33.17
_cell_angle_gamma 33.17
_symmetry_space_group_name_H-M 'P 1'
_symmetry_Int_Tables_number 1
loop_
_symmetry_equiv_pos_as_xyz
'x,y,z'
loop_
_atom_site_label
_atom_site_type_symbol
_atom_site_fract_x
_atom_site_fract_y
_atom_site_fract_z
Pm1 Pm 0.000 0.000 0.000
Nd1 Nd 0.500 0.500 0.500
Si1 Si 0.750 0.750 0.750
S1 S 0.251 0.251 0.251
# Raw formation energy in eV per atom: -1.35
# Mass density in g/cm³: 5.66
# Space-group type: R3m, No. 160
# Magnetization in μB per formula unit: 0.00